No. 1
Here is a PBEsol-optimized structure of RbBe3Al from Alexandria. Energies are from meta-GGA SCAN.

Structure (CIF):
```
data_RbBe3Al
_cell_length_a 4.662
_cell_length_b 4.662
_cell_length_c 4.662
_cell_angle_alpha 90.00
_cell_angle_beta 90.00
_cell_angle_gamma 90.00
_symmetry_space_group_name_H-M 'P m -3 m'
_symmetry_Int_Tables_number 221
_symmetry_space_group_name_Hall '-P 4 2 3'
loop_
_atom_site_label
_atom_site_type_symbol
_atom_site_fract_x
_atom_site_fract_y
_atom_site_fract_z
Rb1 Rb 0.000 0.000 0.000
Be1 Be 0.000 0.500 0.500
Al1 Al 0.500 0.500 0.500
```

The crystal system is cubic. The offset from the most stable computed form comes out at 0 meV/atom. For the total magnetization, the calculation gives 0.00 Bohr magnetons per cell.

No. 2
Here is a PBEsol-optimized structure of CuSi2Hg from Alexandria. Energies are from meta-GGA SCAN.

Structure (CIF):
```
data_CuSi2Hg
_cell_length_a 2.677
_cell_length_b 2.677
_cell_length_c 9.567
_cell_angle_alpha 90.00
_cell_angle_beta 90.00
_cell_angle_gamma 90.00
_symmetry_space_group_name_H-M 'P 4/m m m'
_symmetry_Int_Tables_number 123
_symmetry_space_group_name_Hall '-P 4 2'
loop_
_atom_site_label
_atom_site_type_symbol
_atom_site_fract_x
_atom_site_fract_y
_atom_site_fract_z
Cu1 Cu 0.000 0.000 0.000
Si1 Si 0.500 0.500 0.183
Hg1 Hg 0.000 0.000 0.500
```

The crystal system is tetragonal. The calculation puts the uncorrected formation energy at 412 meV per atom. For the total magnetization, the calculation gives 0.00 Bohr magnetons per cell.

No. 3
Here is a PBEsol-optimized structure of Fe2CoPt from Alexandria. Energies are from meta-GGA SCAN.

Structure (CIF):
```
data_Fe2CoPt
_cell_length_a 2.751
_cell_length_b 2.751
_cell_length_c 6.414
_cell_angle_alpha 90.00
_cell_angle_beta 90.00
_cell_angle_gamma 90.00
_symmetry_space_group_name_H-M 'P 4 m m'
_symmetry_Int_Tables_number 99
loop_
_symmetry_equiv_pos_as_xyz
'x,y,z'
'-y,x,z'
'-x,-y,z'
'y,-x,z'
'-x,y,z'
'y,x,z'
'x,-y,z'
'-y,-x,z'
loop_
_atom_site_label
_atom_site_type_symbol
_atom_site_fract_x
_atom_site_fract_y
_atom_site_fract_z
Fe1 Fe 0.000 0.000 0.000
Fe2 Fe 0.500 0.500 0.238
Co1 Co 0.500 0.500 0.790
Pt1 Pt 0.000 0.000 0.510
```

The crystal system is tetragonal. As for the calculated total energy: -31.150 eV/atom. For the total magnetization, the calculation gives 8.01 Bohr magnetons per cell.

No. 4
Here is a PBEsol-optimized structure of TlP from Alexandria. Energies are from meta-GGA SCAN.

Structure (CIF):
```
data_TlP
_cell_length_a 4.704
_cell_length_b 4.704
_cell_length_c 7.781
_cell_angle_alpha 90.00
_cell_angle_beta 90.00
_cell_angle_gamma 90.00
_symmetry_space_group_name_H-M 'I 41/a m d'
_symmetry_Int_Tables_number 141
loop_
_symmetry_equiv_pos_as_xyz
'x,y,z'
'-x,-y,-z'
'-y+1/4,x+3/4,z+1/4'
'y+1/4,-x+3/4,-z+1/4'
'-x+1/2,-y,z+1/2'
'x+1/2,y,-z+1/2'
'y+1/4,-x+1/4,z+3/4'
'-y+1/4,x+1/4,-z+3/4'
'x,-y,-z'
'-x,y,z'
'-y+1/4,-x+1/4,-z+3/4'
'y+1/4,x+1/4,z+3/4'
'-x+1/2,y,-z+1/2'
'x+1/2,-y,z+1/2'
'y+1/4,x+3/4,-z+1/4'
'-y+1/4,-x+3/4,z+1/4'
'x+1/2,y+1/2,z+1/2'
'-x+1/2,-y+1/2,-z+1/2'
'-y+3/4,x+1/4,z+3/4'
'y+3/4,-x+1/4,-z+3/4'
'-x,-y+1/2,z'
'x,y+1/2,-z'
'y+3/4,-x+3/4,z+1/4'
'-y+3/4,x+3/4,-z+1/4'
'x+1/2,-y+1/2,-z+1/2'
'-x+1/2,y+1/2,z+1/2'
'-y+3/4,-x+3/4,-z+1/4'
'y+3/4,x+3/4,z+1/4'
'-x,y+1/2,-z'
'x,-y+1/2,z'
'y+3/4,x+1/4,-z+3/4'
'-y+3/4,-x+1/4,z+3/4'
loop_
_atom_site_label
_atom_site_type_symbol
_atom_site_fract_x
_atom_site_fract_y
_atom_site_fract_z
Tl1 Tl 0.000 0.250 0.375
P1 P 0.000 0.250 0.875
```

The crystal system is tetragonal. As for the calculated total energy: -40.676 eV/atom. For the total magnetization, the calculation gives 0.00 Bohr magnetons per cell.

No. 5
Here is a PBEsol-optimized structure of K2CdSnB from Alexandria. Energies are from meta-GGA SCAN.

Structure (CIF):
```
data_K2CdSnB
_cell_length_a 6.656
_cell_length_b 6.656
_cell_length_c 5.214
_cell_angle_alpha 90.00
_cell_angle_beta 90.00
_cell_angle_gamma 90.00
_symmetry_space_group_name_H-M 'P 4/m m m'
_symmetry_Int_Tables_number 123
_symmetry_space_group_name_Hall '-P 4 2'
loop_
_atom_site_label
_atom_site_type_symbol
_atom_site_fract_x
_atom_site_fract_y
_atom_site_fract_z
K1 K 0.000 0.500 0.000
Cd1 Cd 0.000 0.000 0.500
Sn1 Sn 0.000 0.000 0.000
B1 B 0.500 0.500 0.500
```

The crystal system is tetragonal. As for the calculated total energy: -17.016 eV/atom. For the total magnetization, the calculation gives 0.93 Bohr magnetons per cell.

No. 6
Here is a PBEsol-optimized structure of KPIr2 from Alexandria. Energies are from meta-GGA SCAN.

Structure (CIF):
```
data_KPIr2
_cell_length_a 2.868
_cell_length_b 2.876
_cell_length_c 8.293
_cell_angle_alpha 90.00
_cell_angle_beta 92.92
_cell_angle_gamma 90.00
_symmetry_space_group_name_H-M 'P 1 2/m 1'
_symmetry_Int_Tables_number 10
loop_
_symmetry_equiv_pos_as_xyz
'x,y,z'
'-x,-y,-z'
'-x,y,-z'
'x,-y,z'
loop_
_atom_site_label
_atom_site_type_symbol
_atom_site_fract_x
_atom_site_fract_y
_atom_site_fract_z
K1 K 0.000 0.000 0.000
P1 P 0.000 0.000 0.500
Ir1 Ir 0.453 0.500 0.670
```

The crystal system is monoclinic. As for the calculated total energy: -40.026 eV/atom. For the total magnetization, the calculation gives 0.00 Bohr magnetons per cell.